VASP calculation (PBE) on a relaxed structure of Ni2BPd.

E_form: -214 meV/atom

Lattice parameters (Å, degrees): 2.916 4.477 6.886 90.00 90.00 109.06
Atoms (fractional coordinates):
Ni 0.145 0.290 0.433
Ni 0.855 0.710 0.567
Ni 0.855 0.710 0.933
Ni 0.145 0.290 0.067
B 0.723 0.447 0.250
B 0.277 0.553 0.750
Pd 0.428 0.853 0.250
Pd 0.572 0.147 0.750

VASP calculation (PBE) on a relaxed structure of AcHoNi2H8.

Total energy: -50.60 eV/cell

Lattice parameters (Å, degrees): 4.469 4.469 7.448 72.54 72.54 60.00
Atoms (fractional coordinates):
Ac 0.500 0.500 0.500
Ho 0.000 0.000 0.000
Ni 0.254 0.254 0.239
Ni 0.746 0.746 0.761
H 0.178 0.178 0.467
H 0.469 0.465 0.155
H 0.822 0.822 0.533
H 0.910 0.469 0.155
H 0.090 0.531 0.845
H 0.465 0.910 0.155
H 0.535 0.090 0.845
H 0.531 0.535 0.845

In order of appearance, total moment = 0.00 0.00 μB/f.u..